DFT (GGA-PBE) results for an optimized crystal structure of Cr2AgIr.

Output
As for the formation energy: 1.08 eV per formula unit. As for the space-group type: No. 25.

Lattice parameters (Å, degrees): 4.417 2.857 4.703 90.00 90.00 90.00
Positions (direct):
1 Cr 0.000 0.125 0.954
2 Cr 0.500 0.125 0.308
3 Ag 0.500 0.625 0.804
4 Ir 0.000 0.625 0.435